[1]
Below is an optimized crystal structure of Na2InIrSe4, with properties calculated at the GGA-PBE level.

## Properties
Total magnetization: 0.02 μB per formula unit
Space group: I-4, No. 82
Total energy: -4.000 eV per atom

```
Na2InIrSe4
1.0
-3.580 3.580 4.065
3.580 -3.580 4.065
3.580 3.580 -4.065
Na In Ir Se
2 1 1 4
direct
0.000 0.000 0.000
0.750 0.250 0.500
0.250 0.750 0.500
0.500 0.500 0.000
0.209 0.161 0.551
0.342 0.791 0.952
0.610 0.658 0.449
0.839 0.390 0.048
```

***

[2]
Below is an optimized crystal structure of Na2InTe4Ir, with properties calculated at the GGA-PBE level.

## Properties
Total magnetization: 0.00 μB per formula unit
Space group: I-4, No. 82
Total energy: -3.652 eV per atom

```
Na2InTe4Ir
1.0
-3.818 3.818 4.443
3.818 -3.818 4.443
3.818 3.818 -4.443
Na In Te Ir
2 1 4 1
direct
0.000 0.000 0.000
0.750 0.250 0.500
0.250 0.750 0.500
0.201 0.647 0.041
0.353 0.393 0.554
0.607 0.160 0.959
0.840 0.799 0.446
0.500 0.500 0.000
```

***

[3]
Below is an optimized crystal structure of NbInIr2, with properties calculated at the GGA-PBE level.

## Properties
Total magnetization: 0.01 μB per formula unit
Space group: F-43m, No. 216
Total energy: -7.533 eV per atom

```
NbInIr2
1.0
0.000 3.230 3.230
3.230 0.000 3.230
3.230 3.230 0.000
Nb In Ir
1 1 2
direct
0.000 0.000 0.000
0.750 0.750 0.750
0.250 0.250 0.250
0.500 0.500 0.500
```

***

Copy entry 3 word for word.
Below is an optimized crystal structure of NbInIr2, with properties calculated at the GGA-PBE level.

## Properties
Total magnetization: 0.01 μB per formula unit
Space group: F-43m, No. 216
Total energy: -7.533 eV per atom

```
NbInIr2
1.0
0.000 3.230 3.230
3.230 0.000 3.230
3.230 3.230 0.000
Nb In Ir
1 1 2
direct
0.000 0.000 0.000
0.750 0.750 0.750
0.250 0.250 0.250
0.500 0.500 0.500
```

***

Question: Number 1 is which compound?
Answer: Na2InIrSe4

***

Question: total energy of number 3 (NbInIr2)?
Answer: -7.533 eV per atom